# Na8In6Pb

Na8In6Pb after structural relaxation (PBE, Alexandria).

The space group is R-3 (No. 148, hexagonal axes) and the conventional cell measures 9.1012, 9.1012 and 19.8520 Å, with angles of 90.00, 90.00 and 120.00 degrees. The asymmetric unit holds Na at (0.0000, 0.0000, 0.1614), Na at (0.0049, 0.3201, 0.6214), In at (0.0014, 0.3288, 0.7904) and Pb at (0.0000, 0.0000, 0.5000).

The value obtained for the energy of formation is -49 meV per atom. Its total magnetization is 0.00 μB/f.u. The volume comes out at 1424.1 Å³/cell. The total energy comes out at -2.10 eV/atom.